1.
# NbInCuPt, optimized geometry, DFT PBE
data_NbInCuPt
_chemical_formula_sum 'Nb4 In4 Cu4 Pt4'
_cell_length_a 6.4596
_cell_length_b 6.4596
_cell_length_c 6.4596
_cell_angle_alpha 90.00
_cell_angle_beta 90.00
_cell_angle_gamma 90.00
_space_group_name_H-M_alt 'F -4 3 m'
_space_group_IT_number 216
_space_group_name_Hall 'F -4 2 3'
loop_
_atom_site_label
_atom_site_type_symbol
_atom_site_fract_x
_atom_site_fract_y
_atom_site_fract_z
Nb1 Nb 0.0000 0.0000 0.0000
In1 In 0.0000 0.0000 0.5000
Cu1 Cu 0.2500 0.2500 0.7500
Pt1 Pt 0.2500 0.2500 0.2500
# Calculated volume, Å³ per atom: 16.8
# VASP energy, eV/atom: -5.936
# DFT formation energy, eV per atom: -0.200

=====

2.
# NbInCu2Rh, optimized geometry, DFT PBE
data_NbInCu2Rh
_chemical_formula_sum 'Nb1 In1 Cu2 Rh1'
_cell_length_a 4.5669
_cell_length_b 4.5669
_cell_length_c 4.8779
_cell_angle_alpha 90.00
_cell_angle_beta 90.00
_cell_angle_gamma 90.00
_space_group_name_H-M_alt 'P 4/m m m'
_space_group_IT_number 123
_space_group_name_Hall '-P 4 2'
loop_
_atom_site_label
_atom_site_type_symbol
_atom_site_fract_x
_atom_site_fract_y
_atom_site_fract_z
Nb1 Nb 0.0000 0.0000 0.0000
In1 In 0.5000 0.5000 0.0000
Cu1 Cu 0.0000 0.5000 0.5000
Rh1 Rh 0.5000 0.5000 0.5000
# Calculated volume, Å³ per atom: 20.3
# VASP energy, eV/atom: -4.611
# DFT formation energy, eV per atom: 1.059

=====

3.
# NbIn2CuRu, optimized geometry, DFT PBE
data_NbIn2CuRu
_chemical_formula_sum 'Nb1 In2 Cu1 Ru1'
_cell_length_a 5.4844
_cell_length_b 5.4844
_cell_length_c 4.5852
_cell_angle_alpha 90.00
_cell_angle_beta 90.00
_cell_angle_gamma 90.00
_space_group_name_H-M_alt 'P 4/m m m'
_space_group_IT_number 123
_space_group_name_Hall '-P 4 2'
loop_
_atom_site_label
_atom_site_type_symbol
_atom_site_fract_x
_atom_site_fract_y
_atom_site_fract_z
Nb1 Nb 0.0000 0.0000 0.0000
In1 In 0.0000 0.5000 0.0000
Cu1 Cu 0.5000 0.5000 0.5000
Ru1 Ru 0.0000 0.0000 0.5000
# Calculated volume, Å³ per atom: 27.6
# VASP energy, eV/atom: -4.553
# DFT formation energy, eV per atom: 1.231

=====

4.
# NbInCu2Tc, optimized geometry, DFT PBE
data_NbInCu2Tc
_chemical_formula_sum 'Nb1 In1 Cu2 Tc1'
_cell_length_a 4.5251
_cell_length_b 4.5251
_cell_length_c 5.0231
_cell_angle_alpha 90.00
_cell_angle_beta 90.00
_cell_angle_gamma 90.00
_space_group_name_H-M_alt 'P 4/m m m'
_space_group_IT_number 123
_space_group_name_Hall '-P 4 2'
loop_
_atom_site_label
_atom_site_type_symbol
_atom_site_fract_x
_atom_site_fract_y
_atom_site_fract_z
Nb1 Nb 0.0000 0.0000 0.0000
In1 In 0.5000 0.5000 0.5000
Cu1 Cu 0.0000 0.5000 0.5000
Tc1 Tc 0.5000 0.5000 0.0000
# Distance to the lowest polymorph of the same formula, kJ per mole of atoms: 53.1
# Calculated volume, Å³ per atom: 20.6
# VASP energy, eV/atom: -4.740
# DFT formation energy, eV per atom: 1.534

=====

5.
# NbInCu2Tc, optimized geometry, DFT PBE
data_NbInCu2Tc
_chemical_formula_sum 'Nb1 In1 Cu2 Tc1'
_cell_length_a 4.7597
_cell_length_b 4.7597
_cell_length_c 4.6197
_cell_angle_alpha 90.00
_cell_angle_beta 90.00
_cell_angle_gamma 90.00
_space_group_name_H-M_alt 'P 4/m m m'
_space_group_IT_number 123
_space_group_name_Hall '-P 4 2'
loop_
_atom_site_label
_atom_site_type_symbol
_atom_site_fract_x
_atom_site_fract_y
_atom_site_fract_z
Nb1 Nb 0.0000 0.0000 0.0000
In1 In 0.5000 0.5000 0.0000
Cu1 Cu 0.0000 0.5000 0.5000
Tc1 Tc 0.0000 0.0000 0.5000
# Distance to the lowest polymorph of the same formula, kJ per mole of atoms: 0.0
# Calculated volume, Å³ per atom: 20.9
# VASP energy, eV/atom: -5.290
# DFT formation energy, eV per atom: 0.984

=====

6.
# NbInCuTe, optimized geometry, DFT PBE
data_NbInCuTe
_chemical_formula_sum 'Nb1 In1 Cu1 Te1'
_cell_length_a 3.7203
_cell_length_b 4.3797
_cell_length_c 5.3971
_cell_angle_alpha 89.64
_cell_angle_beta 70.10
_cell_angle_gamma 90.00
_space_group_name_H-M_alt 'P 1'
_space_group_IT_number 1
_space_group_name_Hall 'P 1'
loop_
_atom_site_label
_atom_site_type_symbol
_atom_site_fract_x
_atom_site_fract_y
_atom_site_fract_z
Nb1 Nb 0.0000 0.0000 0.0000
In1 In 0.5649 0.5010 0.8680
Cu1 Cu 0.8469 0.4974 0.3010
Te1 Te 0.2921 0.9985 0.4206
# Distance to the lowest polymorph of the same formula, kJ per mole of atoms: 3.7
# Calculated volume, Å³ per atom: 20.7
# VASP energy, eV/atom: -4.980
# ΔE_f (raw), meV/atom: 31

=====

7.
# NbInCuTe, optimized geometry, DFT PBE
data_NbInCuTe
_chemical_formula_sum 'Nb2 In2 Cu2 Te2'
_cell_length_a 4.8090
_cell_length_b 4.8088
_cell_length_c 7.9116
_cell_angle_alpha 90.00
_cell_angle_beta 107.54
_cell_angle_gamma 90.00
_space_group_name_H-M_alt 'C 1 m 1'
_space_group_IT_number 8
_space_group_name_Hall 'C -2y'
loop_
_atom_site_label
_atom_site_type_symbol
_atom_site_fract_x
_atom_site_fract_y
_atom_site_fract_z
Nb1 Nb 0.0000 0.0000 0.0000
In1 In 0.3015 0.5000 0.6001
Cu1 Cu 0.3939 0.0000 0.7855
Te1 Te 0.0967 0.5000 0.1953
# Distance to the lowest polymorph of the same formula, kJ per mole of atoms: 3.8
# Calculated volume, Å³ per atom: 21.8
# VASP energy, eV/atom: -4.979
# ΔE_f (raw), meV/atom: 32

=====

8.
# NbInCuTe, optimized geometry, DFT PBE
data_NbInCuTe
_chemical_formula_sum 'Nb2 In2 Cu2 Te2'
_cell_length_a 3.4334
_cell_length_b 3.4334
_cell_length_c 14.2645
_cell_angle_alpha 90.00
_cell_angle_beta 90.00
_cell_angle_gamma 90.00
_space_group_name_H-M_alt 'I 4 m m'
_space_group_IT_number 107
_space_group_name_Hall 'I 4 -2'
loop_
_atom_site_label
_atom_site_type_symbol
_atom_site_fract_x
_atom_site_fract_y
_atom_site_fract_z
Nb1 Nb 0.0000 0.0000 0.0000
In1 In 0.0000 0.0000 0.6318
Cu1 Cu 0.0000 0.0000 0.2111
Te1 Te 0.0000 0.0000 0.3921
# Distance to the lowest polymorph of the same formula, kJ per mole of atoms: 2.7
# Calculated volume, Å³ per atom: 21.0
# VASP energy, eV/atom: -4.991
# ΔE_f (raw), meV/atom: 20

=====

9.
# NbInCuTe, optimized geometry, DFT PBE
data_NbInCuTe
_chemical_formula_sum 'Nb2 In2 Cu2 Te2'
_cell_length_a 9.9364
_cell_length_b 3.4580
_cell_length_c 5.5072
_cell_angle_alpha 90.00
_cell_angle_beta 118.03
_cell_angle_gamma 90.00
_space_group_name_H-M_alt 'C 1 m 1'
_space_group_IT_number 8
_space_group_name_Hall 'C -2y'
loop_
_atom_site_label
_atom_site_type_symbol
_atom_site_fract_x
_atom_site_fract_y
_atom_site_fract_z
Nb1 Nb 0.0000 0.0000 0.0000
In1 In 0.2343 0.5000 0.4536
Cu1 Cu 0.4818 0.0000 0.5708
Te1 Te 0.2870 0.0000 0.0052
# Distance to the lowest polymorph of the same formula, kJ per mole of atoms: 11.4
# Calculated volume, Å³ per atom: 20.9
# VASP energy, eV/atom: -4.901
# ΔE_f (raw), meV/atom: 110

=====

10.
# NbInCuTe, optimized geometry, DFT PBE
data_NbInCuTe
_chemical_formula_sum 'Nb2 In2 Cu2 Te2'
_cell_length_a 3.7109
_cell_length_b 3.8268
_cell_length_c 11.4223
_cell_angle_alpha 90.00
_cell_angle_beta 90.00
_cell_angle_gamma 90.00
_space_group_name_H-M_alt 'A m m 2'
_space_group_IT_number 38
_space_group_name_Hall 'A 2 -2'
loop_
_atom_site_label
_atom_site_type_symbol
_atom_site_fract_x
_atom_site_fract_y
_atom_site_fract_z
Nb1 Nb 0.0000 0.0000 0.0000
In1 In 0.0000 0.0000 0.7090
Cu1 Cu 0.5000 0.0000 0.1728
Te1 Te 0.5000 0.0000 0.4051
# Distance to the lowest polymorph of the same formula, kJ per mole of atoms: 0.0
# Calculated volume, Å³ per atom: 20.3
# VASP energy, eV/atom: -5.019
# ΔE_f (raw), meV/atom: -8

=====

11.
# NbInCuTe, optimized geometry, DFT PBE
data_NbInCuTe
_chemical_formula_sum 'Nb1 In1 Cu1 Te1'
_cell_length_a 3.0441
_cell_length_b 5.1167
_cell_length_c 5.2402
_cell_angle_alpha 90.00
_cell_angle_beta 90.00
_cell_angle_gamma 90.00
_space_group_name_H-M_alt 'P m m 2'
_space_group_IT_number 25
_space_group_name_Hall 'P 2 -2'
loop_
_atom_site_label
_atom_site_type_symbol
_atom_site_fract_x
_atom_site_fract_y
_atom_site_fract_z
Nb1 Nb 0.0000 0.0000 0.0000
In1 In 0.5000 0.0000 0.5200
Cu1 Cu 0.5000 0.5000 0.8060
Te1 Te 0.0000 0.5000 0.2317
# Distance to the lowest polymorph of the same formula, kJ per mole of atoms: 16.3
# Calculated volume, Å³ per atom: 20.4
# VASP energy, eV/atom: -4.850
# ΔE_f (raw), meV/atom: 162

=====

12.
# NbInCuTe, optimized geometry, DFT PBE
data_NbInCuTe
_chemical_formula_sum 'Nb1 In1 Cu1 Te1'
_cell_length_a 3.5531
_cell_length_b 5.1877
_cell_length_c 5.6479
_cell_angle_alpha 116.28
_cell_angle_beta 90.21
_cell_angle_gamma 109.91
_space_group_name_H-M_alt 'P 1'
_space_group_IT_number 1
_space_group_name_Hall 'P 1'
loop_
_atom_site_label
_atom_site_type_symbol
_atom_site_fract_x
_atom_site_fract_y
_atom_site_fract_z
Nb1 Nb 0.0000 0.0000 0.0000
In1 In 0.2713 0.5457 0.5534
Cu1 Cu 0.9741 0.9572 0.4860
Te1 Te 0.7137 0.4296 0.0039
# Distance to the lowest polymorph of the same formula, kJ per mole of atoms: 12.3
# Calculated volume, Å³ per atom: 21.6
# VASP energy, eV/atom: -4.891
# ΔE_f (raw), meV/atom: 120